# ErBeB2Ru (PBE-GGA, optimized geometry)
data_ErBeB2Ru
_chemical_formula_sum 'Er1 Be1 B2 Ru1'
_space_group_name_H-M_alt 'P 1'
_space_group_IT_number 1
_cell_length_a 5.576
_cell_length_b 5.576
_cell_length_c 5.576
_cell_angle_alpha 143.76
_cell_angle_beta 143.76
_cell_angle_gamma 52.18
loop_
_space_group_symop_operation_xyz
'x,y,z'
loop_
_atom_site_label
_atom_site_fract_x
_atom_site_fract_y
_atom_site_fract_z
Er1 0.000 0.000 0.000
Be1 0.250 0.750 0.500
B1 0.373 0.373 0.000
B2 0.627 0.627 0.000
Ru1 0.750 0.250 0.500
# D(E_F) ... 0.7775 states/eV/atom
# Electronic total energy ... -6.531 eV per atom
# Symmetry ... I-4m2 (119)